Entry 1:
! La2GaBRh6 (GGA-PBE, relaxed); values from VASP
! - D(E_F): 10.163 states/eV/f.u.
! - Energy: -0.2553 hartree per atom
! - Symmetry: Fm-3m, No. 225
&SYSTEM
  ibrav = 0, nat = 10, ntyp = 4
/
ATOMIC_SPECIES
Rh 102.91 Rh.upf
La 138.91 La.upf
Ga 69.72 Ga.upf
B 10.81 B.upf
ATOMIC_POSITIONS crystal
Rh 0.269 0.269 0.000
Rh 0.731 0.269 0.000
Rh 0.731 0.731 0.537
Rh 0.269 0.269 0.463
Rh 0.731 0.731 0.000
Rh 0.269 0.731 0.000
La 0.750 0.250 0.500
La 0.250 0.750 0.500
Ga 0.000 0.000 0.000
B 0.500 0.500 0.000
CELL_PARAMETERS angstrom
6.301 0.000 -0.003
0.000 6.303 -0.003
3.149 3.149 4.455

=====

Entry 2:
! La2GaB2Rh5 (GGA-PBE, relaxed); values from VASP
! - D(E_F): 4.418 states/eV/f.u.
! - Energy: -0.2560 hartree per atom
! - Symmetry: P4/mbm, No. 127
&SYSTEM
  ibrav = 0, nat = 20, ntyp = 4
/
ATOMIC_SPECIES
Rh 102.91 Rh.upf
La 138.91 La.upf
Ga 69.72 Ga.upf
B 10.81 B.upf
ATOMIC_POSITIONS crystal
Rh 0.500 0.931 0.224
Rh 0.500 0.431 0.276
Rh 0.500 0.724 0.431
Rh 0.500 0.500 0.000
Rh 0.500 0.776 0.931
Rh 0.500 0.569 0.724
Rh 0.500 0.000 0.500
Rh 0.500 0.276 0.569
Rh 0.500 0.224 0.069
Rh 0.500 0.069 0.776
La 0.000 0.177 0.323
La 0.000 0.677 0.177
La 0.000 0.323 0.823
La 0.000 0.823 0.677
Ga 0.000 0.500 0.500
Ga 0.000 0.000 0.000
B 0.000 0.879 0.379
B 0.000 0.621 0.879
B 0.000 0.379 0.121
B 0.000 0.121 0.621
CELL_PARAMETERS angstrom
-0.061 -1.164 3.041
-6.779 -6.495 -2.623
7.002 -6.379 -2.300

=====

Entry 3:
! La2GaB2Ru5 (GGA-PBE, relaxed); values from VASP
! - D(E_F): 9.457 states/eV/f.u.
! - Energy: -0.2780 hartree per atom
! - Symmetry: P4/mbm, No. 127
&SYSTEM
  ibrav = 0, nat = 20, ntyp = 4
/
ATOMIC_SPECIES
La 138.91 La.upf
Ga 69.72 Ga.upf
Ru 101.07 Ru.upf
B 10.81 B.upf
ATOMIC_POSITIONS crystal
La 0.000 0.324 0.824
La 0.000 0.824 0.676
La 0.000 0.176 0.324
La 0.000 0.676 0.176
Ga 0.000 0.500 0.500
Ga 0.000 0.000 0.000
Ru 0.500 0.721 0.430
Ru 0.500 0.570 0.721
Ru 0.500 0.221 0.070
Ru 0.500 0.930 0.221
Ru 0.500 0.070 0.779
Ru 0.500 0.279 0.570
Ru 0.500 0.000 0.500
Ru 0.500 0.430 0.279
Ru 0.500 0.500 0.000
Ru 0.500 0.779 0.930
B 0.000 0.878 0.378
B 0.000 0.378 0.122
B 0.000 0.122 0.622
B 0.000 0.622 0.878
CELL_PARAMETERS angstrom
3.160 0.000 0.000
0.000 9.803 0.000
0.000 0.000 9.803

=====

Entry 4:
! La2Ga2BRu2 (GGA-PBE, relaxed); values from VASP
! - D(E_F): 5.225 states/eV/f.u.
! - Energy: -0.2358 hartree per atom
! - Symmetry: C2/m, No. 12
&SYSTEM
  ibrav = 0, nat = 7, ntyp = 4
/
ATOMIC_SPECIES
B 10.81 B.upf
La 138.91 La.upf
Ru 101.07 Ru.upf
Ga 69.72 Ga.upf
ATOMIC_POSITIONS crystal
B 0.000 0.000 0.000
La 0.442 0.820 0.296
La 0.558 0.180 0.704
Ru 0.792 0.320 0.097
Ru 0.208 0.680 0.903
Ga 0.837 0.610 0.717
Ga 0.163 0.390 0.283
CELL_PARAMETERS angstrom
4.508 0.000 0.000
2.254 5.736 -0.382
2.254 0.830 5.385